(1)
VASP calculation (PBE with a Hubbard U) on Mg6MnCrO8 after structural relaxation.

Cell lengths 4.3695, 4.3695, 8.4914 Å; angles 90.00, 90.00, 90.00 degrees
Last column: nearest neighbours and their distance in Å.
Positions (direct):
Mg: 0.0000 0.0000 0.0000  6 O 2.05-2.18
Mg: 0.0000 0.5000 0.2488  6 O 2.11-2.19
Mg: 0.0000 0.5000 0.7512  6 O 2.11-2.19
Mg: 0.5000 0.0000 0.2488  6 O 2.11-2.19
Mg: 0.5000 0.0000 0.7512  6 O 2.11-2.19
Mg: 0.5000 0.5000 0.0000  6 O 2.12-2.18
Mn: 0.0000 0.0000 0.5000  6 O 2.18-2.19
Cr: 0.5000 0.5000 0.5000  6 O 2.13-2.18
O: 0.0000 0.0000 0.2418  5 Mg 2.05-2.19, 1 Mn 2.19
O: 0.0000 0.0000 0.7582  5 Mg 2.05-2.19, 1 Mn 2.19
O: 0.0000 0.5000 0.0000  6 Mg 2.11-2.18
O: 0.0000 0.5000 0.5000  2 Mg 2.13, 2 Cr 2.18, 2 Mn 2.18
O: 0.5000 0.0000 0.0000  6 Mg 2.11-2.18
O: 0.5000 0.0000 0.5000  2 Mg 2.13, 2 Cr 2.18, 2 Mn 2.18
O: 0.5000 0.5000 0.2496  5 Mg 2.12-2.18, 1 Cr 2.13
O: 0.5000 0.5000 0.7504  5 Mg 2.12-2.18, 1 Cr 2.13

Crystal system: tetragonal
ΔE to the lowest computed polymorph in eV/f.u.: 0.06
Space-group type: P4/mmm

---

(2)
VASP calculation (PBE with a Hubbard U) on Mg2MnCrO after structural relaxation.

Cell lengths 5.0453, 5.0453, 4.7170 Å; angles 90.00, 90.00, 90.00 degrees
Last column: nearest neighbours and their distance in Å.
Positions (direct):
Mg: 0.0000 0.5000 0.0000  2 Mn 2.52
Mg: 0.5000 0.0000 0.0000  2 Mn 2.52
Mn: 0.0000 0.0000 0.0000  2 Cr 2.36, 4 Mg 2.52
Cr: 0.0000 0.0000 0.5000  2 Mn 2.36
O: 0.5000 0.5000 0.5000  8 Mg 3.45, 4 Cr 3.57

E in eV/atom: -3.530
Crystal system: tetragonal
Space-group type: P4/mmm

---

(3)
VASP calculation (PBE with a Hubbard U) on Mg30MnCrO32 after structural relaxation.

Cell lengths 8.5594, 8.5594, 8.5171 Å; angles 90.00, 90.00, 90.00 degrees
Last column: nearest neighbours and their distance in Å.
Positions (direct):
Mg: 0.0000 0.0000 0.0000  6 O 2.13
Mg: 0.0000 0.0000 0.5000  6 O 2.13
Mg: 0.0000 0.2497 0.2498  6 O 2.13-2.14
Mg: 0.0000 0.2497 0.7502  6 O 2.13-2.14
Mg: 0.0000 0.5000 0.0000  6 O 2.05-2.15
Mg: 0.0000 0.5000 0.5000  6 O 2.09-2.15
Mg: 0.0000 0.7503 0.2498  6 O 2.13-2.14
Mg: 0.0000 0.7503 0.7502  6 O 2.13-2.14
Mg: 0.2474 0.5000 0.2488  6 O 2.12-2.16
Mg: 0.2474 0.5000 0.7512  6 O 2.12-2.16
Mg: 0.2493 0.2493 0.0000  6 O 2.13-2.15
Mg: 0.2490 0.2490 0.5000  6 O 2.13-2.15
Mg: 0.2493 0.7507 0.0000  6 O 2.13-2.15
Mg: 0.2490 0.7510 0.5000  6 O 2.13-2.15
Mg: 0.2497 0.0000 0.2498  6 O 2.13-2.14
Mg: 0.2497 0.0000 0.7502  6 O 2.13-2.14
Mg: 0.5000 0.0000 0.0000  6 O 2.05-2.15
Mg: 0.5000 0.0000 0.5000  6 O 2.09-2.15
Mg: 0.5000 0.2474 0.2488  6 O 2.12-2.16
Mg: 0.5000 0.2474 0.7512  6 O 2.12-2.16
Mg: 0.5000 0.7526 0.2488  6 O 2.12-2.16
Mg: 0.5000 0.7526 0.7512  6 O 2.12-2.16
Mg: 0.7503 0.0000 0.2498  6 O 2.13-2.14
Mg: 0.7503 0.0000 0.7502  6 O 2.13-2.14
Mg: 0.7507 0.2493 0.0000  6 O 2.13-2.15
Mg: 0.7510 0.2490 0.5000  6 O 2.13-2.15
Mg: 0.7507 0.7507 0.0000  6 O 2.13-2.15
Mg: 0.7510 0.7510 0.5000  6 O 2.13-2.15
Mg: 0.7526 0.5000 0.2488  6 O 2.12-2.16
Mg: 0.7526 0.5000 0.7512  6 O 2.12-2.16
Mn: 0.5000 0.5000 0.5000  6 O 2.18-2.19
Cr: 0.5000 0.5000 0.0000  6 O 2.07-2.22
O: 0.0000 0.0000 0.2503  6 Mg 2.13-2.14
O: 0.0000 0.0000 0.7497  6 Mg 2.13-2.14
O: 0.0000 0.2485 0.0000  6 Mg 2.13-2.15
O: 0.0000 0.2491 0.5000  6 Mg 2.13-2.15
O: 0.0000 0.5000 0.2510  6 Mg 2.12-2.14
O: 0.0000 0.5000 0.7490  6 Mg 2.12-2.14
O: 0.0000 0.7509 0.5000  6 Mg 2.13-2.15
O: 0.0000 0.7515 0.0000  6 Mg 2.13-2.15
O: 0.2401 0.5000 0.0000  5 Mg 2.05-2.15, 1 Cr 2.22
O: 0.2445 0.5000 0.5000  5 Mg 2.09-2.15, 1 Mn 2.19
O: 0.2485 0.0000 0.0000  6 Mg 2.13-2.15
O: 0.2491 0.0000 0.5000  6 Mg 2.13-2.15
O: 0.2505 0.2505 0.2502  6 Mg 2.13-2.14
O: 0.2505 0.2505 0.7498  6 Mg 2.13-2.14
O: 0.2505 0.7495 0.2502  6 Mg 2.13-2.14
O: 0.2505 0.7495 0.7498  6 Mg 2.13-2.14
O: 0.5000 0.0000 0.2510  6 Mg 2.12-2.14
O: 0.5000 0.0000 0.7490  6 Mg 2.12-2.14
O: 0.5000 0.2401 0.0000  5 Mg 2.05-2.15, 1 Cr 2.22
O: 0.5000 0.2445 0.5000  5 Mg 2.09-2.15, 1 Mn 2.19
O: 0.5000 0.5000 0.2435  1 Cr 2.07, 4 Mg 2.16, 1 Mn 2.18
O: 0.5000 0.5000 0.7565  1 Cr 2.07, 4 Mg 2.16, 1 Mn 2.18
O: 0.5000 0.7555 0.5000  5 Mg 2.09-2.15, 1 Mn 2.19
O: 0.5000 0.7599 0.0000  5 Mg 2.05-2.15, 1 Cr 2.22
O: 0.7495 0.2505 0.2502  6 Mg 2.13-2.14
O: 0.7495 0.2505 0.7498  6 Mg 2.13-2.14
O: 0.7495 0.7495 0.2502  6 Mg 2.13-2.14
O: 0.7495 0.7495 0.7498  6 Mg 2.13-2.14
O: 0.7509 0.0000 0.5000  6 Mg 2.13-2.15
O: 0.7515 0.0000 0.0000  6 Mg 2.13-2.15
O: 0.7555 0.5000 0.5000  5 Mg 2.09-2.15, 1 Mn 2.19
O: 0.7599 0.5000 0.0000  5 Mg 2.05-2.15, 1 Cr 2.22

E in eV/atom: -6.090
Crystal system: tetragonal
Space-group type: P4/mmm

---

(4)
VASP calculation (PBE with a Hubbard U) on Mg6MnCrO8 after structural relaxation.

Cell lengths 4.3610, 4.3610, 8.5232 Å; angles 90.00, 90.00, 90.00 degrees
Last column: nearest neighbours and their distance in Å.
Positions (direct):
Mg: 0.0000 0.0000 0.0000  6 O 2.14-2.18
Mg: 0.0000 0.0000 0.5000  6 O 2.13-2.18
Mg: 0.0000 0.5000 0.2474  6 O 2.11-2.18
Mg: 0.0000 0.5000 0.7526  6 O 2.11-2.18
Mg: 0.5000 0.0000 0.2474  6 O 2.11-2.18
Mg: 0.5000 0.0000 0.7526  6 O 2.11-2.18
Mn: 0.5000 0.5000 0.5000  6 O 2.18
Cr: 0.5000 0.5000 0.0000  6 O 2.08-2.18
O: 0.0000 0.0000 0.2507  6 Mg 2.13-2.18
O: 0.0000 0.0000 0.7493  6 Mg 2.13-2.18
O: 0.0000 0.5000 0.0000  4 Mg 2.11-2.18, 2 Cr 2.18
O: 0.0000 0.5000 0.5000  4 Mg 2.15-2.18, 2 Mn 2.18
O: 0.5000 0.0000 0.0000  4 Mg 2.11-2.18, 2 Cr 2.18
O: 0.5000 0.0000 0.5000  4 Mg 2.15-2.18, 2 Mn 2.18
O: 0.5000 0.5000 0.2443  1 Cr 2.08, 1 Mn 2.18, 4 Mg 2.18
O: 0.5000 0.5000 0.7557  1 Cr 2.08, 1 Mn 2.18, 4 Mg 2.18

Crystal system: tetragonal
ΔE to the lowest computed polymorph in eV/f.u.: 0.00
Space-group type: P4/mmm